No. 1
Entry from Alexandria: a relaxed LaTlOs crystal (PBE-GGA).

density	11.83	Mg/m³
total energy	-5.884	eV per atom
Fermi-level density of states	3.016	states/eV per cell
energy of formation	0.290	eV per atom
magnetic moment	0.000	μB per atom

```
LaTlOs
1.0
-3.890 1.882 2.006
0.156 -0.684 -4.712
-1.453 -3.493 0.459
La Os Tl
1 1 1
Direct
0.000 0.000 0.000
0.667 0.333 0.500
0.333 0.667 0.500
```

***

No. 2
Entry from Alexandria: a relaxed La6TlOs2 crystal (PBE-GGA).

density	8.07	Mg/m³
total energy	-6.185	eV per atom
Fermi-level density of states	8.701	states/eV per cell
energy of formation	-0.142	eV per atom
magnetic moment	0.000	μB per atom

```
La6TlOs2
1.0
5.838 0.000 0.000
-2.919 4.203 0.531
0.000 -0.561 11.829
La Os Tl
6 2 1
Direct
0.635 0.270 0.616
0.365 0.730 0.384
0.009 0.017 0.212
0.675 0.349 0.081
0.991 0.983 0.788
0.325 0.651 0.919
0.661 0.322 0.840
0.339 0.678 0.160
0.000 0.000 0.500
```

***

No. 3
Entry from Alexandria: a relaxed LaTlOs crystal (PBE-GGA).

density	10.27	Mg/m³
total energy	-5.226	eV per atom
Fermi-level density of states	0.994	states/eV per cell
energy of formation	0.948	eV per atom
magnetic moment	0.000	μB per atom

```
LaTlOs
1.0
4.960 0.000 0.000
2.480 4.295 0.000
2.480 1.432 4.049
Os La Tl
1 1 1
Direct
0.000 0.000 0.000
0.750 0.750 0.750
0.500 0.500 0.500
```

***

No. 4
Entry from Alexandria: a relaxed La6TlOs2 crystal (PBE-GGA).

density	8.68	Mg/m³
total energy	-6.276	eV per atom
Fermi-level density of states	15.632	states/eV per cell
energy of formation	-0.232	eV per atom
magnetic moment	0.000	μB per atom

```
La6TlOs2
1.0
-5.327 -6.833 2.146
8.526 -1.218 2.343
-2.345 7.419 4.373
La Os Tl
12 4 2
Direct
0.790 0.771 0.562
0.688 0.024 0.336
0.790 0.229 0.019
0.476 0.299 0.177
0.688 0.353 0.664
0.878 0.701 0.177
0.122 0.299 0.823
0.312 0.976 0.664
0.524 0.701 0.823
0.210 0.229 0.438
0.210 0.771 0.981
0.312 0.647 0.336
0.325 0.000 0.325
0.675 0.000 0.675
0.500 0.637 0.137
0.500 0.363 0.863
0.000 0.000 0.000
0.000 0.500 0.500
```

***

No. 5
Entry from Alexandria: a relaxed LaTl2Os crystal (PBE-GGA).

density	11.83	Mg/m³
total energy	-4.727	eV per atom
Fermi-level density of states	3.825	states/eV per cell
energy of formation	0.496	eV per atom
magnetic moment	0.085	μB per atom

```
LaTl2Os
1.0
-0.176 3.986 -5.213
3.627 -5.451 0.480
-0.991 -2.093 -2.808
Os Tl La
1 2 1
Direct
0.000 0.500 0.500
0.000 0.000 0.000
0.500 0.500 0.000
0.500 0.000 0.500
```

***

No. 6
Entry from Alexandria: a relaxed La2TlOs crystal (PBE-GGA).

density	9.94	Mg/m³
total energy	-5.916	eV per atom
Fermi-level density of states	4.042	states/eV per cell
energy of formation	-0.053	eV per atom
magnetic moment	0.000	μB per atom

```
La2TlOs
1.0
7.150 0.006 -0.001
4.567 5.502 0.001
-5.422 -3.682 2.858
La Os Tl
2 1 1
Direct
0.689 0.189 0.500
0.993 0.993 0.000
0.503 0.503 0.000
0.316 0.816 0.500
```